## Ac2Pd6Au (PBE)

Data for crystalline Ac2Pd6Au at its relaxed geometry.

The structure belongs to space group C2/m (No. 12); the cell edges are 10.0363, 5.8519 and 6.6046 Å and the angles 90.00°, 103.60° and 90.00°. The distinct sites, in fractional coordinates, are Ac at (0.1412, 0.0000, 0.3262), Pd at (0.1189, 0.5000, 0.1725), Pd at (0.1365, 0.2380, 0.8298) and Au at (0.0000, 0.5000, 0.5000).

The size of the total moment comes out at 0.000 μB per cell. The value obtained for the formation energy is -666 meV per atom. For the calculated total energy, the calculation gives -5.405 eV per atom.